No. 1
A geometry-optimized KRb2CaBr6 structure. Source: Alexandria via LeMat-Bulk, functional PBE-GGA.

Results
DOS at the Fermi energy (states/eV/atom): 1.299
Formation energy without anion corrections (meV per atom): -1534

Unit cell a=8.4482 b=8.4482 c=8.4483 alpha=60.00 beta=60.00 gamma=90.00
Last column: nearest neighbours and their distance in Å.
Atoms (fractional coordinates):
Rb: 0.7500 0.2500 0.5000  12 Br 4.23
Br: 0.7617 0.7617 0.4766  1 Ca 2.85, 1 K 3.13
K: 0.5000 0.5000 0.0000  6 Br 3.13
Rb: 0.2500 0.7500 0.5000  12 Br 4.23
Br: 0.2383 0.2383 0.0000  1 Ca 2.85, 1 K 3.13
Ca: 0.0000 0.0000 0.0000  6 Br 2.85
Br: 0.7617 0.7617 0.0000  1 Ca 2.85, 1 K 3.13
Br: 0.7617 0.2383 0.0000  1 Ca 2.85, 1 K 3.13
Br: 0.2383 0.2383 0.5234  1 Ca 2.85, 1 K 3.13
Br: 0.2383 0.7617 0.0000  1 Ca 2.85, 1 K 3.13

---

No. 2
A geometry-optimized TaRuO2 structure. Source: Alexandria via LeMat-Bulk, functional PBE-GGA.

Results
Energy above the most stable polymorph in this dataset (eV per atom): 0.909
DOS at the Fermi energy (states/eV/atom): 0.921
Formation energy without anion corrections (meV per atom): -354

Unit cell a=3.9384 b=3.9384 c=3.9384 alpha=60.00 beta=60.00 gamma=60.00
Last column: nearest neighbours and their distance in Å.
Atoms (fractional coordinates):
O: 0.2500 0.2500 0.2500  4 Ta 2.41, 4 Ru 2.41
Ta: 0.5000 0.5000 0.5000  8 O 2.41
O: 0.7500 0.7500 0.7500  4 Ta 2.41, 4 Ru 2.41
Ru: 0.0000 0.0000 0.0000  8 O 2.41

---

No. 3
A geometry-optimized TbSmSe2O structure. Source: Alexandria via LeMat-Bulk, functional PBE-GGA.

Results
DOS at the Fermi energy (states/eV/atom): 0.210
Formation energy without anion corrections (meV per atom): -2397

Unit cell a=4.0281 b=4.0281 c=14.6469 alpha=90.00 beta=90.00 gamma=90.00
Last column: nearest neighbours and their distance in Å.
Atoms (fractional coordinates):
Se: 0.5000 0.0000 0.9111  5 Tb 2.90-3.16
Sm: 0.0000 0.5000 0.4214  4 O 2.32
Tb: 0.5000 0.0000 0.1268  5 Se 2.64-2.90
O: 0.0000 0.0000 0.5000  4 Sm 2.32
Sm: 0.5000 0.0000 0.5786  4 O 2.32
Tb: 0.0000 0.5000 0.8732  5 Se 2.64-2.90
Se: 0.5000 0.0000 0.3071  1 Tb 2.64
O: 0.5000 0.5000 0.5000  4 Sm 2.32
Se: 0.0000 0.5000 0.6929  1 Tb 2.64
Se: 0.0000 0.5000 0.0889  5 Tb 2.90-3.16

---

No. 4
A geometry-optimized Ca3NiAu2 structure. Source: Alexandria via LeMat-Bulk, functional PBE-GGA.

Results
Energy of formation from the pure elements (eV per atom): -0.587
DOS at the Fermi energy (states/eV/atom): 0.622

Unit cell a=4.2874 b=11.7689 c=11.8829 alpha=90.00 beta=90.00 gamma=90.00
Last column: nearest neighbours and their distance in Å.
Atoms (fractional coordinates):
Ca: 0.7500 0.2981 0.7789  2 Ni 2.95, 4 Au 3.10-3.18
Ca: 0.2500 0.4452 0.3828  3 Ni 3.01-3.04, 5 Au 3.10-3.18
Au: 0.2500 0.0047 0.3060  1 Ni 2.59
Ca: 0.7500 0.6260 0.9507  1 Ni 3.03, 5 Au 3.08-3.22
Ni: 0.2500 0.1279 0.1251  3 Au 2.59-2.61
Ca: 0.7500 0.9452 0.1172  3 Ni 3.01-3.04, 5 Au 3.10-3.18
Ni: 0.7500 0.8721 0.8749  3 Au 2.59-2.61
Ca: 0.2500 0.7019 0.2211  2 Ni 2.95, 4 Au 3.10-3.18
Au: 0.7500 0.1888 0.0159  2 Ni 2.61
Au: 0.7500 0.5047 0.1940  1 Ni 2.59
Ca: 0.2500 0.3740 0.0493  1 Ni 3.03, 5 Au 3.08-3.22
Au: 0.2500 0.8112 0.9841  2 Ni 2.61
Au: 0.7500 0.3112 0.5159  2 Ni 2.61
Ca: 0.7500 0.8740 0.4507  1 Ni 3.03, 5 Au 3.08-3.22
Au: 0.2500 0.6888 0.4841  2 Ni 2.61
Ca: 0.2500 0.1260 0.5493  1 Ni 3.03, 5 Au 3.08-3.22
Ca: 0.7500 0.5548 0.6172  3 Ni 3.01-3.04, 5 Au 3.10-3.18
Au: 0.7500 0.9953 0.6940  1 Ni 2.59
Ni: 0.2500 0.3721 0.6251  3 Au 2.59-2.61
Ca: 0.7500 0.2019 0.2789  2 Ni 2.95, 4 Au 3.10-3.18
Ni: 0.7500 0.6279 0.3749  3 Au 2.59-2.61
Ca: 0.2500 0.0548 0.8828  3 Ni 3.01-3.04, 5 Au 3.10-3.18
Au: 0.2500 0.4953 0.8060  1 Ni 2.59
Ca: 0.2500 0.7981 0.7211  2 Ni 2.95, 4 Au 3.10-3.18

---

> Which of these has the highest DOS at the Fermi energy?

KRb2CaBr6